A geometry-optimized PPd4 structure, computed with GGA-PBEsol.

Summary:
Calculated formation energy = -2.09 eV/f.u.
E = -6.34 eV/atom
Crystal system = monoclinic
M_tot = 0.00 μB/cell

Lattice parameters (Å, degrees): 5.0958 7.4731 5.6660 90.00 90.05 90.00
Closest atoms and distances in Å follow each position.
Fractional coordinates of all 15 atoms:
P 0.0000 0.0000 0.0000  6 Pd 2.26-2.36
P 0.0838 0.5000 0.7651  6 Pd 2.28-2.34
P 0.5845 0.0000 0.4909  6 Pd 2.26-2.38
Pd 0.1607 0.0000 0.3724  2 P 2.26
Pd 0.2130 0.3126 0.0691  1 P 2.31
Pd 0.2130 0.6874 0.0691  1 P 2.31
Pd 0.3727 0.3156 0.5544  2 P 2.34-2.62
Pd 0.3727 0.6844 0.5544  2 P 2.34-2.62
Pd 0.4178 0.0000 0.8656  2 P 2.26-2.29
Pd 0.6651 0.5000 0.9194  1 P 2.31
Pd 0.7105 0.1939 0.1996  2 P 2.29-2.36
Pd 0.7105 0.8061 0.1996  2 P 2.29-2.36
Pd 0.8696 0.1927 0.7058  3 P 2.30-2.56
Pd 0.8696 0.8073 0.7058  3 P 2.30-2.56
Pd 0.8897 0.5000 0.4029  1 P 2.28



A geometry-optimized RbCd2TeW structure, computed with GGA-PBEsol.

Summary:
E = -2.86 eV/atom
Crystal system = tetragonal
M_tot = 4.16 μB/cell

Lattice parameters (Å, degrees): 5.3854 5.3854 6.2498 90.00 90.00 90.00
Closest atoms and distances in Å follow each position.
Fractional coordinates of all 5 atoms:
Rb 0.0000 0.0000 0.0000  2 W 3.12
Cd 0.0000 0.5000 0.5000  2 W 2.69
Cd 0.5000 0.0000 0.5000  2 W 2.69
Te 0.5000 0.5000 0.0000  4 Rb 3.81, 8 Cd 4.12
W 0.0000 0.0000 0.5000  4 Cd 2.69



A geometry-optimized CsY2NbNi structure, computed with GGA-PBEsol.

Summary:
Calculated formation energy = 8.80 eV/f.u.
E = -4.55 eV/atom
Crystal system = tetragonal
M_tot = 2.65 μB/cell

Lattice parameters (Å, degrees): 5.4811 5.4811 4.5367 90.00 90.00 90.00
Closest atoms and distances in Å follow each position.
Fractional coordinates of all 5 atoms:
Cs 0.0000 0.0000 0.0000  2 Ni 2.27
Y 0.0000 0.5000 0.0000  2 Cs 2.74
Y 0.5000 0.0000 0.0000  2 Cs 2.74
Nb 0.5000 0.5000 0.5000  8 Y 3.56, 4 Ni 3.88
Ni 0.0000 0.0000 0.5000  2 Cs 2.27



A geometry-optimized ScInHg2 structure, computed with GGA-PBEsol.

Summary:
Calculated formation energy = -1.21 eV/f.u.
E = -2.98 eV/atom
Crystal system = monoclinic
M_tot = 0.00 μB/cell

Lattice parameters (Å, degrees): 5.0866 5.0866 5.4314 101.28 101.28 39.59
Closest atoms and distances in Å follow each position.
Fractional coordinates of all 4 atoms:
Sc 0.0000 0.0000 0.0000  6 Hg 2.98-2.99, 4 In 3.22
In 0.5000 0.5000 0.5000  6 Hg 3.00-3.07, 4 Sc 3.22
Hg 0.2534 0.2534 0.7622  3 Sc 2.98-2.99, 3 In 3.00-3.07, 4 Hg 3.12-3.32
Hg 0.7466 0.7466 0.2378  3 Sc 2.98-2.99, 3 In 3.00-3.07, 4 Hg 3.12-3.32



A geometry-optimized HfAlGe3 structure, computed with GGA-PBEsol.

Summary:
Calculated formation energy = 3.52 eV/f.u.
E = -5.18 eV/atom
Crystal system = cubic
M_tot = 0.00 μB/cell
Distance to the lowest polymorph of the same formula = 136 meV/atom

Lattice parameters (Å, degrees): 4.7177 4.7177 4.7177 90.00 90.00 90.00
Closest atoms and distances in Å follow each position.
Fractional coordinates of all 5 atoms:
Hf 0.0000 0.0000 0.0000  12 Ge 3.34
Al 0.5000 0.5000 0.5000  6 Ge 2.36
Ge 0.0000 0.5000 0.5000  2 Al 2.36
Ge 0.5000 0.0000 0.5000  2 Al 2.36
Ge 0.5000 0.5000 0.0000  2 Al 2.36



A geometry-optimized TlCl structure, computed with GGA-PBEsol.

Summary:
E = -3.21 eV/atom
Crystal system = hexagonal
M_tot = 0.00 μB/cell

Lattice parameters (Å, degrees): 4.2339 4.2339 3.9571 90.00 90.00 120.00
Closest atoms and distances in Å follow each position.
Fractional coordinates of all 2 atoms:
Tl 0.0000 0.0000 0.0000  6 Cl 3.14
Cl 0.6667 0.3333 0.5000  6 Tl 3.14